Record 1
4
Lattice="2.774 0.000 0.000 0.000 4.485 0.000 -0.887 0.000 5.078" Properties=species:S:1:pos:R:3 comment="Ta2FeRe | Alexandria via LeMat-Bulk | PBE | optimized geometry" sg="No. 6" n_ef_per_ev_cell=2.64 volume_a3_per_atom=15.791 pbc="T T T"
Ta 0.000 0.000 0.000
Ta 0.108 2.242 3.656
Fe 1.902 2.242 1.124
Re 1.006 0.000 2.504

---

Record 2
3
Lattice="-1.647 1.647 4.418 1.647 -1.647 4.418 1.647 1.647 -4.418" Properties=species:S:1:pos:R:3 comment="TaGaRe | Alexandria via LeMat-Bulk | PBE | optimized geometry" sg="No. 107" n_ef_per_ev_cell=2.90 volume_a3_per_atom=15.979 pbc="T T T"
Ta 0.000 0.000 0.000
Ga 0.000 0.000 2.850
Re 0.000 0.000 5.842

---

no.,formation enthalpy at 0 K (eV/atom),magnetic moment (μB/cell),VASP energy (eV/atom)
1,-0.04,1.7,-11.191
2,-0.11,0.0,-9.224